# 1
This record from Alexandria describes a relaxed Nb14FePt crystal. The functional is PBE-GGA.

Properties
- Magnetic moment: 0.62 μB per formula unit
- Calculated volume: 281.3 Å³ per cell
- Crystal system: tetragonal
- Electronic total energy: -9.843 eV/atom

Unit cell a=6.5416 b=6.5416 c=6.5742 alpha=90.00 beta=90.00 gamma=90.01
Last column: nearest neighbours and their distance in Å.
Atoms (fractional coordinates):
1 Nb 0.1290 0.1290 0.2534  1 Fe 2.79, 6 Nb 2.82-2.88, 1 Pt 2.85
2 Nb 0.6211 0.1289 0.7466  1 Fe 2.80, 6 Nb 2.82-2.88, 1 Pt 2.85
3 Nb 0.6211 0.1289 0.2534  1 Fe 2.80, 6 Nb 2.82-2.88, 1 Pt 2.85
4 Nb 0.6210 0.6210 0.7466  1 Fe 2.80, 6 Nb 2.82-2.88, 1 Pt 2.85
5 Nb 0.8750 0.3750 0.5000  8 Nb 2.82-2.83
6 Nb 0.3750 0.8750 0.0000  8 Nb 2.85
7 Nb 0.8750 0.8750 0.0000  8 Nb 2.88
8 Nb 0.1290 0.1290 0.7466  1 Fe 2.79, 6 Nb 2.82-2.88, 1 Pt 2.85
9 Nb 0.3750 0.3750 0.0000  8 Nb 2.82
10 Nb 0.3750 0.8750 0.5000  8 Nb 2.82-2.83
11 Nb 0.1289 0.6211 0.7466  1 Fe 2.80, 6 Nb 2.82-2.88, 1 Pt 2.85
12 Nb 0.8750 0.3750 0.0000  8 Nb 2.85
13 Nb 0.1289 0.6211 0.2534  1 Fe 2.80, 6 Nb 2.82-2.88, 1 Pt 2.85
14 Nb 0.6210 0.6210 0.2534  1 Fe 2.80, 6 Nb 2.82-2.88, 1 Pt 2.85
15 Fe 0.3749 0.3749 0.5000  8 Nb 2.79-2.80
16 Pt 0.8750 0.8750 0.5000  8 Nb 2.85



# 2
This record from Alexandria describes a relaxed LiSiNi2 crystal. The functional is PBE-GGA.

Properties
- Magnetic moment: 0.00 μB per formula unit
- Formation energy (no corrections): -0.05 eV/atom
- Calculated volume: 100.2 Å³ per cell
- Crystal system: tetragonal
- Electronic total energy: -4.777 eV/atom

Unit cell a=6.2974 b=6.2974 c=5.1193 alpha=52.04 beta=52.04 gamma=90.00
Last column: nearest neighbours and their distance in Å.
Atoms (fractional coordinates):
1 Ni 0.6524 0.1250 0.2500  2 Si 2.20, 2 Li 2.44
2 Ni 0.0976 0.6250 0.2500  2 Si 2.20, 2 Li 2.44
3 Ni 0.3750 0.3476 0.7500  2 Si 2.20, 2 Li 2.44
4 Ni 0.8750 0.9024 0.7500  2 Si 2.20, 2 Li 2.44
5 Li 0.2500 0.7500 0.5000  4 Ni 2.44, 2 Si 2.53
6 Li 0.5000 0.5000 0.0000  4 Ni 2.44, 2 Si 2.53
7 Si 0.0000 0.0000 0.0000  4 Ni 2.20
8 Si 0.7500 0.2500 0.5000  4 Ni 2.20



# 3
This record from Alexandria describes a relaxed TaGeS crystal. The functional is PBE-GGA.

Properties
- Magnetic moment: 0.00 μB per formula unit
- Formation energy (no corrections): -0.27 eV/atom
- Calculated volume: 251.7 Å³ per cell
- Crystal system: monoclinic
- Electronic total energy: -7.133 eV/atom

Unit cell a=3.5771 b=7.0693 c=10.1619 alpha=95.54 beta=100.14 gamma=90.00
Last column: nearest neighbours and their distance in Å.
Atoms (fractional coordinates):
1 Ge 0.7573 0.3770 0.5147  4 Ge 2.52-2.53, 4 Ta 2.67-2.74
2 Ge 0.2427 0.6230 0.4853  4 Ge 2.52-2.53, 4 Ta 2.67-2.74
3 Ge 0.2512 0.1254 0.5025  4 Ge 2.52, 3 Ta 2.72-2.76
4 Ge 0.7488 0.8746 0.4975  4 Ge 2.52, 3 Ta 2.72-2.76
5 Ta 0.6484 0.1152 0.2967  3 S 2.40-2.61
6 Ta 0.3565 0.4359 0.7130  3 S 2.38-2.59
7 Ta 0.3516 0.8848 0.7033  3 S 2.40-2.61
8 Ta 0.6435 0.5641 0.2870  3 S 2.38-2.59
9 S 0.9053 0.6765 0.8107  4 Ta 2.59-2.61
10 S 0.4238 0.1759 0.8475  2 Ta 2.38-2.40
11 S 0.5762 0.8241 0.1525  2 Ta 2.38-2.40
12 S 0.0947 0.3235 0.1893  4 Ta 2.59-2.61



# 4
This record from Alexandria describes a relaxed Ce2GdTl crystal. The functional is PBE-GGA.

Properties
- Magnetic moment: 10.50 μB per formula unit
- Calculated volume: 119.1 Å³ per cell
- Crystal system: cubic
- Electronic total energy: -7.069 eV/atom
- E above lowest polymorph: 0.55 eV per formula unit

Unit cell a=5.5219 b=5.5219 c=5.5219 alpha=60.00 beta=60.00 gamma=60.00
Last column: nearest neighbours and their distance in Å.
Atoms (fractional coordinates):
1 Tl 0.5000 0.5000 0.5000  8 Ce 3.38
2 Ce 0.2500 0.2500 0.2500  4 Tl 3.38, 4 Gd 3.38
3 Ce 0.7500 0.7500 0.7500  4 Tl 3.38, 4 Gd 3.38
4 Gd 0.0000 0.0000 0.0000  8 Ce 3.38



# 5
This record from Alexandria describes a relaxed MgIn8Bi6 crystal. The functional is PBE-GGA.

Properties
- Magnetic moment: 0.00 μB per formula unit
- Calculated volume: 492.9 Å³ per cell
- Crystal system: trigonal
- Electronic total energy: -3.088 eV/atom

Unit cell a=8.9111 b=8.9111 c=8.9111 alpha=59.35 beta=59.35 gamma=59.35
Last column: nearest neighbours and their distance in Å.
Atoms (fractional coordinates):
1 Bi 0.7428 0.0736 0.3870  6 In 3.15-3.35, 1 Mg 3.21
2 Bi 0.9264 0.6130 0.2572  6 In 3.15-3.35, 1 Mg 3.21
3 Bi 0.0736 0.3870 0.7428  6 In 3.15-3.35, 1 Mg 3.21
4 Bi 0.6130 0.2572 0.9264  6 In 3.15-3.35, 1 Mg 3.21
5 Bi 0.3870 0.7428 0.0736  6 In 3.15-3.35, 1 Mg 3.21
6 Bi 0.2572 0.9264 0.6130  6 In 3.15-3.35, 1 Mg 3.21
7 In 0.1146 0.7829 0.4646  4 Bi 3.15-3.19
8 In 0.2171 0.5354 0.8854  4 Bi 3.15-3.19
9 In 0.4646 0.1146 0.7829  4 Bi 3.15-3.19
10 In 0.3310 0.3310 0.3310  6 Bi 3.33-3.35
11 In 0.5354 0.8854 0.2171  4 Bi 3.15-3.19
12 In 0.6690 0.6690 0.6690  6 Bi 3.33-3.35
13 In 0.8854 0.2171 0.5354  4 Bi 3.15-3.19
14 In 0.7829 0.4646 0.1146  4 Bi 3.15-3.19
15 Mg 0.0000 0.0000 0.0000  6 Bi 3.21



# 6
This record from Alexandria describes a relaxed Nd2ErThP4 crystal. The functional is PBE-GGA.

Properties
- Magnetic moment: 0.00 μB per formula unit
- Calculated volume: 197.1 Å³ per cell
- Crystal system: monoclinic
- Electronic total energy: -6.972 eV/atom

Unit cell a=4.1192 b=7.1069 c=7.1402 alpha=109.43 beta=90.00 gamma=90.00
Last column: nearest neighbours and their distance in Å.
Atoms (fractional coordinates):
1 P 0.5000 0.7566 0.7599  2 Er 2.86, 1 Th 2.89, 3 Nd 2.93-2.96
2 P 0.0000 0.2484 0.7567  1 Er 2.86, 2 Th 2.90, 3 Nd 2.93-2.96
3 P 0.0000 0.7516 0.2433  1 Er 2.86, 2 Th 2.90, 3 Nd 2.93-2.96
4 P 0.5000 0.2434 0.2401  2 Er 2.86, 1 Th 2.89, 3 Nd 2.93-2.96
5 Nd 0.5000 0.0000 0.5000  6 P 2.93
6 Nd 0.0000 0.5000 0.5000  6 P 2.96
7 Th 0.5000 0.5000 0.0000  6 P 2.89-2.90
8 Er 0.0000 0.0000 0.0000  6 P 2.86



# 7
This record from Alexandria describes a relaxed LaY3Ru crystal. The functional is PBE-GGA.

Properties
- Magnetic moment: 0.00 μB per formula unit
- Calculated volume: 584.4 Å³ per cell
- Crystal system: monoclinic
- Electronic total energy: -6.841 eV/atom
- E above lowest polymorph: 0.32 eV per formula unit

Unit cell a=27.8400 b=6.2338 c=10.6501 alpha=90.00 beta=161.57 gamma=90.00
Last column: nearest neighbours and their distance in Å.
Atoms (fractional coordinates):
1 Y 0.1170 0.3503 0.3806  3 Ru 2.91-3.06
2 Y 0.2893 0.4758 0.0887  1 Ru 2.73
3 Y 0.7893 0.0242 0.5887  1 Ru 2.73
4 Y 0.3755 0.9516 0.5146  1 Ru 2.99
5 Y 0.2107 0.9758 0.4113  1 Ru 2.73
6 Y 0.1245 0.4516 0.9854  1 Ru 2.99
7 Y 0.8755 0.5484 0.0146  1 Ru 2.99
8 Y 0.8830 0.6497 0.6194  3 Ru 2.91-3.06
9 Y 0.7107 0.5242 0.9113  1 Ru 2.73
10 Y 0.3830 0.8503 0.1194  3 Ru 2.91-3.06
11 Y 0.6245 0.0484 0.4854  1 Ru 2.99
12 Y 0.6170 0.1497 0.8806  3 Ru 2.91-3.06
13 La 0.5804 0.4831 0.0576  1 Ru 2.67
14 La 0.9196 0.9831 0.4424  1 Ru 2.67
15 La 0.0804 0.0169 0.5576  1 Ru 2.67
16 La 0.4196 0.5169 0.9424  1 Ru 2.67
17 Ru 0.9439 0.1922 0.7204  1 La 2.67, 3 Y 2.73-2.95
18 Ru 0.0561 0.8078 0.2796  1 La 2.67, 3 Y 2.73-2.95
19 Ru 0.4439 0.3078 0.2204  1 La 2.67, 3 Y 2.73-2.95
20 Ru 0.5561 0.6922 0.7796  1 La 2.67, 3 Y 2.73-2.95



# 8
This record from Alexandria describes a relaxed LiThPaOs crystal. The functional is PBE-GGA.

Properties
- Magnetic moment: 0.00 μB per formula unit
- Calculated volume: 87.3 Å³ per cell
- Crystal system: cubic
- Electronic total energy: -7.488 eV/atom

Unit cell a=4.9793 b=4.9793 c=4.9793 alpha=60.00 beta=60.00 gamma=60.00
Last column: nearest neighbours and their distance in Å.
Atoms (fractional coordinates):
1 Th 0.7500 0.7500 0.7500  4 Li 3.05, 4 Os 3.05
2 Os 0.5000 0.5000 0.5000  4 Th 3.05, 4 Pa 3.05
3 Li 0.0000 0.0000 0.0000  4 Th 3.05, 4 Pa 3.05
4 Pa 0.2500 0.2500 0.2500  4 Li 3.05, 4 Os 3.05